# 1
Below is crystalline HfTcAs2Br at its relaxed geometry, with properties calculated at the PBE level.

Results
Final energy = -27.84 eV/cell
Space-group type = No. 123
Magnetic moment = 4.559 μB/cell
E_form (uncorrected) = 3.4 eV/f.u.

```
HfTcAs2Br
1.0
5.185 0.000 0.000
0.000 5.185 0.000
0.000 0.000 5.137
Hf Tc As Br
1 1 2 1
direct
0.000 0.000 0.000 Hf
0.500 0.500 0.500 Tc
0.000 0.500 0.000 As
0.500 0.000 0.000 As
0.000 0.000 0.500 Br
```

=====

# 2
Below is crystalline ScBrF2 at its relaxed geometry, with properties calculated at the PBE level.

Results
Final energy = -45.96 eV/cell
Space-group type = No. 141
Magnetic moment = 0.000 μB/cell
E_form (uncorrected) = -11.2 eV/f.u.

```
ScBrF2
1.0
-2.593 2.593 5.959
2.593 -2.593 5.959
2.593 2.593 -5.959
Sc Br F
2 2 4
direct
0.375 0.625 0.750 Sc
0.625 0.375 0.250 Sc
0.125 0.875 0.250 Br
0.875 0.125 0.750 Br
0.000 0.500 0.500 F
0.500 0.000 0.000 F
0.500 0.500 0.000 F
0.500 0.500 0.500 F
```